The following is a PBE calculation of Co2MoPd after structural relaxation, from Alexandria.

The structure in CIF format:
```
data_Co2MoPd
_chemical_formula_sum 'Co8 Mo4 Pd4'
_cell_length_a 6.532
_cell_length_b 6.532
_cell_length_c 5.313
_cell_angle_alpha 90.00
_cell_angle_beta 90.00
_cell_angle_gamma 90.00
_symmetry_space_group_name_H-M 'I -4 2 d'
_symmetry_Int_Tables_number 122
_symmetry_space_group_name_Hall 'I -4 2bw'
loop_
_atom_site_label
_atom_site_type_symbol
_atom_site_fract_x
_atom_site_fract_y
_atom_site_fract_z
Co1 Co 0.224 0.250 0.125
Mo1 Mo 0.000 0.000 0.000
Pd1 Pd 0.000 0.000 0.500
```


The following is a PBE calculation of CoMoPd2 after structural relaxation, from Alexandria.

The structure in CIF format:
```
data_CoMoPd2
_chemical_formula_sum 'Co4 Mo4 Pd8'
_cell_length_a 6.900
_cell_length_b 6.900
_cell_length_c 5.222
_cell_angle_alpha 90.00
_cell_angle_beta 90.00
_cell_angle_gamma 90.00
_symmetry_space_group_name_H-M 'I -4 2 d'
_symmetry_Int_Tables_number 122
_symmetry_space_group_name_Hall 'I -4 2bw'
loop_
_atom_site_label
_atom_site_type_symbol
_atom_site_fract_x
_atom_site_fract_y
_atom_site_fract_z
Co1 Co 0.000 0.000 0.000
Mo1 Mo 0.000 0.000 0.500
Pd1 Pd 0.237 0.250 0.125
```


The following is a PBE calculation of CoMo2Pd after structural relaxation, from Alexandria.

The structure in CIF format:
```
data_CoMo2Pd
_chemical_formula_sum 'Co4 Mo8 Pd4'
_cell_length_a 3.719
_cell_length_b 3.719
_cell_length_c 17.982
_cell_angle_alpha 90.00
_cell_angle_beta 90.00
_cell_angle_gamma 90.00
_symmetry_space_group_name_H-M 'I -4 2 d'
_symmetry_Int_Tables_number 122
_symmetry_space_group_name_Hall 'I -4 2bw'
loop_
_atom_site_label
_atom_site_type_symbol
_atom_site_fract_x
_atom_site_fract_y
_atom_site_fract_z
Co1 Co 0.000 0.000 0.000
Mo1 Mo 0.227 0.250 0.125
Pd1 Pd 0.000 0.000 0.500
```


The following calculated total energy values (in eV/atom) correspond, in order, to the records above: -7.076, -6.454, -7.893.
The following relative energy among the computed polymorphs values (in meV/atom) correspond, in order, to the records above: 379, 310, 184.